Record 1
Crystalline Ca2CuN at its relaxed geometry, computed with PBE.

Crystal system: trigonal
Raw formation energy (eV per atom): -0.230
VASP energy (eV per cell): -52.04

Cell lengths 3.5199, 3.5199, 24.7740 Å; angles 90.00, 90.00, 120.00 degrees
Space group R-3m (No. 166, hexagonal axes)
Asymmetric unit:
Ca 0.0000 0.0000 0.1155
Cu 0.0000 0.0000 0.0000
N 0.0000 0.0000 0.5000


Record 2
Crystalline Ca12Cu3N5 at its relaxed geometry, computed with PBE.

Crystal system: cubic
Raw formation energy (eV per atom): -0.414
VASP energy (eV per cell): -689.78

Cell lengths 15.6307, 15.6307, 15.6307 Å; angles 90.00, 90.00, 90.00 degrees
Space group Ia-3d (No. 230)
Asymmetric unit:
Ca 0.0329 0.0480 0.6485
Cu 0.0000 0.2500 0.1250
N 0.0000 0.0000 0.0000
N 0.0000 0.2500 0.3750


Record 3
Crystalline CaCu3N at its relaxed geometry, computed with PBE.

Crystal system: cubic
Raw formation energy (eV per atom): 2.206
VASP energy (eV per cell): -11.59
E above lowest polymorph (kJ/mol of formula units): 916.2

Cell lengths 5.3799, 5.3799, 5.3799 Å; angles 90.00, 90.00, 90.00 degrees
Space group Pm-3m (No. 221)
Asymmetric unit:
Ca 0.0000 0.0000 0.0000
Cu 0.0000 0.0000 0.5000
N 0.5000 0.5000 0.5000


Record 4
Crystalline Ca5CuN4 at its relaxed geometry, computed with PBE.

Crystal system: orthorhombic
Raw formation energy (eV per atom): -0.498
VASP energy (eV per cell): -104.76

Cell lengths 7.2429, 8.5978, 6.2036 Å; angles 90.00, 90.00, 90.00 degrees
Space group Pmmn (No. 59, origin choice 2)
Asymmetric unit:
Ca 0.0163 0.0442 0.2376
Ca 0.2500 0.2500 0.7511
Cu 0.2500 0.7500 0.4684
N 0.0013 0.7500 0.4872
N 0.2500 0.0308 0.9693


Record 5
Crystalline Ca6Cu2N at its relaxed geometry, computed with PBE.

Crystal system: monoclinic
Raw formation energy (eV per atom): -0.299
VASP energy (eV per cell): -62.44

Cell lengths 6.7795, 7.4518, 11.6928 Å; angles 90.00, 124.27, 90.00 degrees
Space group P2_1/c (No. 14)
Asymmetric unit:
Ca 0.1238 0.0294 0.2368
Ca 0.2131 0.7112 0.0552
Ca 0.3526 0.1661 0.0538
Cu 0.2858 0.0963 0.7503
N 0.0000 0.0000 0.0000


Record 6
Crystalline Ca8CuN2 at its relaxed geometry, computed with PBE.

Crystal system: monoclinic
Raw formation energy (eV per atom): -0.359
VASP energy (eV per cell): -81.41

Cell lengths 13.1789, 7.4436, 6.5908 Å; angles 90.00, 105.98, 90.00 degrees
Space group C2/m (No. 12)
Asymmetric unit:
Ca 0.1347 0.0000 0.2324
Ca 0.1359 0.5000 0.2251
Ca 0.1432 0.2508 0.7860
Cu 0.0000 0.5000 0.5000
N 0.2467 0.0000 0.0010


Record 7
Crystalline CaCuN2 at its relaxed geometry, computed with PBE.

Crystal system: tetragonal
Raw formation energy (eV per atom): 0.381
VASP energy (eV per cell): -84.91
E above lowest polymorph (kJ/mol of formula units): 0.0

Cell lengths 4.9018, 4.9018, 9.4907 Å; angles 90.00, 90.00, 90.00 degrees
Space group I-42d (No. 122)
Asymmetric unit:
Ca 0.0000 0.0000 0.0000
Cu 0.0000 0.0000 0.5000
N 0.1644 0.2500 0.6250


Record 8
Crystalline CaCu3N at its relaxed geometry, computed with PBE.

Crystal system: cubic
Raw formation energy (eV per atom): 0.307
VASP energy (eV per cell): -21.08
E above lowest polymorph (kJ/mol of formula units): 0.0

Cell lengths 4.1642, 4.1642, 4.1642 Å; angles 90.00, 90.00, 90.00 degrees
Space group Pm-3m (No. 221)
Asymmetric unit:
Ca 0.0000 0.0000 0.0000
Cu 0.0000 0.5000 0.5000
N 0.5000 0.5000 0.5000


Record 9
Crystalline Ca2CuN at its relaxed geometry, computed with PBE.

Crystal system: tetragonal
Raw formation energy (eV per atom): -0.229
VASP energy (eV per cell): -69.36

Cell lengths 6.8505, 6.8505, 7.8198 Å; angles 90.00, 90.00, 90.00 degrees
Space group I-42d (No. 122)
Asymmetric unit:
Ca 0.1639 0.7500 0.1250
Cu 0.0000 0.0000 0.5000
N 0.0000 0.0000 0.0000


Record 10
Crystalline CaCuN2 at its relaxed geometry, computed with PBE.

Crystal system: cubic
Raw formation energy (eV per atom): 0.763
VASP energy (eV per cell): -78.79
E above lowest polymorph (kJ/mol of formula units): 147.5

Cell lengths 5.6578, 5.6578, 5.6578 Å; angles 90.00, 90.00, 90.00 degrees
Space group Fm-3m (No. 225)
Asymmetric unit:
Ca 0.0000 0.0000 0.0000
Cu 0.0000 0.0000 0.5000
N 0.2500 0.2500 0.2500


Record 11
Crystalline Ca2CuN2 at its relaxed geometry, computed with PBE.

Crystal system: monoclinic
Raw formation energy (eV per atom): -0.471
VASP energy (eV per cell): -108.42

Cell lengths 10.9193, 4.9476, 6.9506 Å; angles 90.00, 121.71, 90.00 degrees
Space group C2/m (No. 12)
Asymmetric unit:
Ca 0.0436 0.0000 0.2634
Ca 0.1761 0.5000 0.0724
Cu 0.1377 0.5000 0.6174
N 0.0238 0.5000 0.3041
N 0.1816 0.0000 0.0966


Record 12
Crystalline CaNdCuN2 at its relaxed geometry, computed with PBE.

Crystal system: orthorhombic
Raw formation energy (eV per atom): -0.658
VASP energy (eV per cell): -61.61

Cell lengths 5.0004, 5.5017, 6.6609 Å; angles 90.00, 90.00, 90.00 degrees
Space group Pccm (No. 49)
Asymmetric unit:
Ca 0.0000 0.0000 0.2500
Nd 0.5000 0.5000 0.2500
Cu 0.5000 0.0000 0.0000
N 0.2598 0.2570 0.0000